Version P
An optimized crystal structure of LaMg6Ni. Source: the Alexandria database, functional PBE-GGA.

Calculated values
Density of states at the Fermi level: 6.0 states/eV per cell

POSCAR file:
```
LaMg6Ni
1.0
3.0912 -6.7805 0.0000
3.0912 6.7805 0.0000
0.0000 0.0000 4.4914
La Mg Ni
1 6 1
direct
0.2804 0.7196 0.5000
0.8267 0.6776 0.5000
0.6871 0.8000 0.0000
0.2000 0.3129 0.0000
0.3224 0.1733 0.5000
0.6984 0.3016 0.0000
0.8629 0.1371 0.5000
0.1221 0.8779 0.0000
```


Version Q
An optimized crystal structure of LaMg6Ni. Source: the Alexandria database, functional PBE-GGA.

Calculated values
Density of states at the Fermi level: 4.4 states/eV per cell

POSCAR file:
```
LaMg6Ni
1.0
-5.0488 1.0747 5.0025
-0.2369 0.1097 -7.1835
-1.0622 -4.8109 -0.0385
Ni Mg La
1 6 1
direct
0.8849 0.1151 0.5000
0.3067 0.1937 0.5000
0.6785 0.8342 0.0000
0.1658 0.3215 0.0000
0.8063 0.6933 0.5000
0.1397 0.8603 0.0000
0.7166 0.2834 0.0000
0.3015 0.6985 0.5000
```


Which is most stable, and by how much? version Q, by 18 meV/atom.


Version P
An optimized crystal structure of LaMg14Ni. Source: the Alexandria database, functional PBE-GGA.

Calculated values
Density of states at the Fermi level: 11.8 states/eV per cell

POSCAR file:
```
LaMg14Ni
1.0
-4.8802 -2.3598 3.5018
4.4624 -3.9878 -2.4149
5.5730 1.0886 8.5003
La Mg Ni
1 14 1
direct
0.0000 0.0000 0.5000
0.6667 0.3333 0.7359
0.6784 0.8392 0.7733
0.0171 0.5086 0.5000
0.1608 0.3216 0.2267
0.4914 0.5086 0.5000
0.4914 0.9829 0.5000
0.6667 0.3333 0.2641
0.1608 0.8392 0.2267
0.9883 0.4941 0.0000
0.5059 0.4941 0.0000
0.1608 0.3216 0.7733
0.6784 0.8392 0.2267
0.1608 0.8392 0.7733
0.5059 0.0117 0.0000
0.0000 0.0000 0.0000
```


Version Q
An optimized crystal structure of LaMg14Ni. Source: the Alexandria database, functional PBE-GGA.

Calculated values
Density of states at the Fermi level: 6.7 states/eV per cell

POSCAR file:
```
LaMg14Ni
1.0
3.0612 -5.9110 0.0000
3.0612 5.9110 0.0000
0.0000 0.0000 10.2500
La Mg Ni
1 14 1
direct
0.3069 0.6931 0.5000
0.6956 0.3044 0.7012
0.8224 0.6663 0.0000
0.3328 0.6672 0.0000
0.1642 0.8358 0.7669
0.1711 0.3237 0.2478
0.8247 0.1753 0.0000
0.6763 0.8289 0.2478
0.1711 0.3237 0.7522
0.6956 0.3044 0.2988
0.3337 0.1776 0.0000
0.1642 0.8358 0.2331
0.2908 0.1845 0.5000
0.8155 0.7092 0.5000
0.6763 0.8289 0.7522
0.8587 0.1413 0.5000
```


Which is most stable, and by how much? version Q, by 30 meV/atom.


Version P
An optimized crystal structure of LaMg2TlNi. Source: the Alexandria database, functional PBE-GGA.

Calculated values
Density of states at the Fermi level: 4.7 states/eV per cell

POSCAR file:
```
LaMg2TlNi
1.0
5.0550 0.0000 0.0000
0.0000 5.0550 0.0000
0.0000 0.0000 5.0786
Ni Mg Tl La
1 2 1 1
direct
0.0000 0.0000 0.0000
0.5000 0.0000 0.0000
0.0000 0.5000 0.0000
0.5000 0.5000 0.5000
0.0000 0.0000 0.5000
```


Version Q
An optimized crystal structure of LaMg2TlNi. Source: the Alexandria database, functional PBE-GGA.

Calculated values
Density of states at the Fermi level: 2.2 states/eV per cell

POSCAR file:
```
LaMg2TlNi
1.0
4.9038 0.0000 0.0000
0.0000 4.9038 0.0000
0.0000 0.0000 5.0223
Ni Tl La Mg
1 1 1 2
direct
0.0000 0.0000 0.0000
0.0000 0.0000 0.5000
0.5000 0.5000 0.5000
0.5000 0.0000 0.0000
0.0000 0.5000 0.0000
```


Which is most stable, and by how much? version P, by 47 meV/atom.


Version P
An optimized crystal structure of La2MgTlNi. Source: the Alexandria database, functional PBE-GGA.

Calculated values
Density of states at the Fermi level: 4.7 states/eV per cell

POSCAR file:
```
La2MgTlNi
1.0
5.3482 0.0000 0.0000
0.0000 5.3482 0.0000
0.0000 0.0000 5.0041
Ni Mg Tl La
1 1 1 2
direct
0.0000 0.0000 0.0000
0.0000 0.0000 0.5000
0.5000 0.5000 0.5000
0.5000 0.0000 0.0000
0.0000 0.5000 0.0000
```


Version Q
An optimized crystal structure of La2MgTlNi. Source: the Alexandria database, functional PBE-GGA.

Calculated values
Density of states at the Fermi level: 6.3 states/eV per cell

POSCAR file:
```
La2MgTlNi
1.0
5.4174 0.0000 0.0000
0.0000 5.4174 0.0000
0.0000 0.0000 5.0436
Tl La Ni Mg
1 2 1 1
direct
0.0000 0.0000 0.5000
0.0000 0.5000 0.0000
0.5000 0.0000 0.0000
0.0000 0.0000 0.0000
0.5000 0.5000 0.5000
```


Which is most stable, and by how much? version P, by 118 meV/atom.


Version P
An optimized crystal structure of LaMgZn2Ni. Source: the Alexandria database, functional PBE-GGA.

Calculated values
Density of states at the Fermi level: 3.3 states/eV per cell

POSCAR file:
```
LaMgZn2Ni
1.0
3.8512 0.0000 0.0000
0.0000 4.2103 0.0000
-1.9256 -2.1051 6.1308
Zn La Ni Mg
2 1 1 1
direct
0.7043 0.2043 0.4086
0.0470 0.0470 0.0940
0.4262 0.4262 0.8523
0.8424 0.8424 0.6848
0.1923 0.6923 0.3846
```


Version Q
An optimized crystal structure of LaMgZn2Ni. Source: the Alexandria database, functional PBE-GGA.

Calculated values
Density of states at the Fermi level: 4.3 states/eV per cell

POSCAR file:
```
LaMgZn2Ni
1.0
4.6962 0.0000 0.0000
0.0000 4.6962 0.0000
0.0000 0.0000 4.7130
Ni Zn Mg La
1 2 1 1
direct
0.0000 0.0000 0.0000
0.0000 0.5000 0.0000
0.5000 0.0000 0.0000
0.0000 0.0000 0.5000
0.5000 0.5000 0.5000
```


Which is most stable, and by how much? version P, by 90 meV/atom.


Version P
An optimized crystal structure of RbLaMg6O8. Source: the Alexandria database, functional PBE-GGA.

POSCAR file:
```
RbLaMg6O8
1.0
4.7316 0.0000 0.0000
0.0000 4.7316 0.0000
0.0000 0.0000 9.1416
Mg O La Rb
6 8 1 1
direct
0.0000 0.0000 0.5000
0.0000 0.5000 0.7219
0.5000 0.0000 0.2781
0.5000 0.5000 0.5000
0.0000 0.5000 0.2781
0.5000 0.0000 0.7219
0.0000 0.0000 0.7262
0.0000 0.5000 0.0000
0.5000 0.0000 0.5000
0.0000 0.5000 0.5000
0.0000 0.0000 0.2738
0.5000 0.0000 0.0000
0.5000 0.5000 0.7137
0.5000 0.5000 0.2863
0.0000 0.0000 0.0000
0.5000 0.5000 0.0000
```


Version Q
An optimized crystal structure of RbLaMg6O8. Source: the Alexandria database, functional PBE-GGA.

Calculated values
Density of states at the Fermi level: 3.1 states/eV per cell

POSCAR file:
```
RbLaMg6O8
1.0
-1.1951 3.0408 -3.3944
-4.4577 -1.5096 0.2171
-1.8900 6.5162 6.5027
Mg O La Rb
6 8 1 1
direct
0.5000 0.0000 0.2756
0.5000 0.5000 0.0000
0.5000 0.5000 0.5000
0.0000 0.5000 0.7244
0.5000 0.0000 0.7244
0.0000 0.5000 0.2756
0.0000 0.0000 0.2403
0.5000 0.0000 0.0000
0.0000 0.0000 0.7597
0.5000 0.5000 0.2556
0.5000 0.0000 0.5000
0.0000 0.5000 0.0000
0.0000 0.5000 0.5000
0.5000 0.5000 0.7444
0.0000 0.0000 0.0000
0.0000 0.0000 0.5000
```


Which is most stable, and by how much? version P, by 130 meV/atom.


Version P
An optimized crystal structure of LaMgZr2O. Source: the Alexandria database, functional PBE-GGA.

Calculated values
Density of states at the Fermi level: 3.3 states/eV per cell

POSCAR file:
```
LaMgZr2O
1.0
-0.1415 3.5115 2.9095
-4.2698 0.9202 -1.3182
-1.7778 -3.0682 3.6167
La Zr O Mg
1 2 1 1
direct
0.0000 0.0000 0.5000
0.5000 0.0000 0.0000
0.0000 0.5000 0.0000
0.0000 0.0000 0.0000
0.5000 0.5000 0.5000
```


Version Q
An optimized crystal structure of LaMgZr2O. Source: the Alexandria database, functional PBE-GGA.

Calculated values
Density of states at the Fermi level: 7.4 states/eV per cell

POSCAR file:
```
LaMgZr2O
1.0
-2.5829 4.7382 2.1872
-3.7104 -1.5709 -0.9785
-0.2895 -2.5668 5.2186
Mg Zr O La
1 2 1 1
direct
0.5000 0.5000 0.5000
0.5000 0.0000 0.0000
0.0000 0.0000 0.5000
0.0000 0.5000 0.0000
0.0000 0.0000 0.0000
```


Which is most stable, and by how much? version P, by 1517 meV/atom.


Version P
An optimized crystal structure of La3MgOs. Source: the Alexandria database, functional PBE-GGA.

Calculated values
Density of states at the Fermi level: 18.1 states/eV per cell

POSCAR file:
```
La3MgOs
1.0
6.7881 0.0000 0.0000
0.0000 9.0507 -3.8703
0.0000 -0.4509 9.8348
La Os Mg
12 4 4
direct
0.5001 0.2952 0.2048
0.0002 0.8108 0.0882
0.4998 0.0882 0.8107
0.4999 0.7048 0.7952
0.4998 0.3108 0.5882
0.5002 0.9118 0.1893
0.0002 0.5882 0.3107
0.9999 0.7952 0.7048
0.5002 0.6892 0.4118
0.9998 0.4118 0.6893
0.0001 0.2048 0.2952
0.9998 0.1892 0.9118
0.2500 0.0000 0.0000
0.7500 0.0000 0.0000
0.7500 0.5000 0.5000
0.2500 0.5000 0.5000
0.2939 0.4999 0.9999
0.2061 0.9999 0.4999
0.7939 0.0001 0.5001
0.7061 0.5001 0.0001
```


Version Q
An optimized crystal structure of La3MgOs. Source: the Alexandria database, functional PBE-GGA.

Calculated values
Density of states at the Fermi level: 8.7 states/eV per cell

POSCAR file:
```
La3MgOs
1.0
-0.5388 -6.3276 5.1601
-7.1631 -2.7890 -4.1680
1.9657 -6.0557 0.6739
Mg Os La
2 2 6
direct
0.2537 0.7500 0.5020
0.7463 0.2500 0.4980
0.2418 0.2500 0.7778
0.7582 0.7500 0.2222
0.7515 0.4673 0.0532
0.7515 0.0327 0.0532
0.2489 0.2500 0.3245
0.2485 0.9673 0.9468
0.2485 0.5327 0.9468
0.7511 0.7500 0.6755
```


Version R
An optimized crystal structure of La3MgOs. Source: the Alexandria database, functional PBE-GGA.

Calculated values
Density of states at the Fermi level: 5.8 states/eV per cell

POSCAR file:
```
La3MgOs
1.0
-5.3691 -3.0604 -1.1024
-2.6629 1.5185 5.4783
-3.0697 5.0055 -2.2205
La Os Mg
3 1 1
direct
0.6250 0.1191 0.6250
0.1191 0.6250 0.6250
0.6250 0.6250 0.1191
0.8741 0.8741 0.8741
0.6317 0.6317 0.6317
```


Version S
An optimized crystal structure of La3MgOs. Source: the Alexandria database, functional PBE-GGA.

Calculated values
Density of states at the Fermi level: 11.3 states/eV per cell

POSCAR file:
```
La3MgOs
1.0
6.0270 0.0000 0.0000
0.0000 6.0270 0.0000
3.0135 3.0135 9.7593
Os La Mg
2 6 2
direct
0.0000 0.0000 0.0000
0.2500 0.7500 0.5000
0.2807 0.2807 0.4385
0.1166 0.3688 0.7668
0.1166 0.8644 0.7668
0.6312 0.8834 0.2332
0.7193 0.7193 0.5615
0.1356 0.8834 0.2332
0.9569 0.4569 0.0862
0.5431 0.0431 0.9138
```


Which is most stable, and by how much? version P, by 36 meV/atom.


Version P
An optimized crystal structure of La3MgOs. Source: the Alexandria database, functional PBE-GGA.

Calculated values
Density of states at the Fermi level: 11.1 states/eV per cell

POSCAR file:
```
La3MgOs
1.0
3.2900 -7.2756 0.0000
3.2900 7.2756 0.0000
0.0000 0.0000 6.3277
Mg La Os
2 6 2
direct
0.5766 0.4234 0.2500
0.4234 0.5766 0.7500
0.0000 0.0000 0.0000
0.0000 0.0000 0.5000
0.4363 0.0495 0.7500
0.9505 0.5637 0.7500
0.5637 0.9505 0.2500
0.0495 0.4363 0.2500
0.8393 0.1607 0.7500
0.1607 0.8393 0.2500
```


Version Q
An optimized crystal structure of La3MgOs. Source: the Alexandria database, functional PBE-GGA.

Calculated values
Density of states at the Fermi level: 24.6 states/eV per cell

POSCAR file:
```
La3MgOs
1.0
10.4613 -0.9313 0.1911
4.4542 -8.2269 4.7771
4.7136 -7.4618 -5.6962
La Mg Os
12 4 4
direct
0.9469 0.9469 0.5531
0.3031 0.3031 0.6969
0.3031 0.6969 0.3031
0.6969 0.6969 0.3031
0.3031 0.6969 0.6969
0.9469 0.5531 0.5531
0.5531 0.5531 0.9469
0.6969 0.3031 0.3031
0.6969 0.3031 0.6969
0.5531 0.9469 0.5531
0.9469 0.5531 0.9469
0.5531 0.9469 0.9469
0.6250 0.1250 0.1250
0.1250 0.1250 0.1250
0.1250 0.6250 0.1250
0.1250 0.1250 0.6250
0.6250 0.6250 0.1250
0.6250 0.6250 0.6250
0.1250 0.6250 0.6250
0.6250 0.1250 0.6250
```


Version R
An optimized crystal structure of La3MgOs. Source: the Alexandria database, functional PBE-GGA.

Calculated values
Density of states at the Fermi level: 12.7 states/eV per cell

POSCAR file:
```
La3MgOs
1.0
-3.6145 5.5229 3.2730
-6.1196 -2.2675 -2.9319
3.7187 -10.6519 0.4763
La Os Mg
6 2 2
direct
0.4022 0.7500 0.5303
0.5978 0.2500 0.4697
0.3132 0.9917 0.0459
0.3132 0.5083 0.0459
0.6868 0.0083 0.9541
0.6868 0.4917 0.9541
0.2252 0.7500 0.1987
0.7748 0.2500 0.8013
0.9256 0.7500 0.5672
0.0744 0.2500 0.4328
```


Version S
An optimized crystal structure of La3MgOs. Source: the Alexandria database, functional PBE-GGA.

Calculated values
Density of states at the Fermi level: 20.2 states/eV per cell

POSCAR file:
```
La3MgOs
1.0
-6.1207 5.8534 -10.5099
-9.4676 -0.4310 -1.7956
-2.9874 0.6143 9.1511
Mg La Os
4 12 4
direct
0.0587 0.4001 0.2304
0.5587 0.2696 0.0999
0.9413 0.5999 0.7696
0.4413 0.7304 0.9001
0.8961 0.2042 0.2209
0.9703 0.7011 0.4069
0.3810 0.5476 0.5843
0.5297 0.9069 0.2011
0.4703 0.0931 0.7989
0.6039 0.7209 0.7042
0.6190 0.4524 0.4157
0.3961 0.2791 0.2958
0.1190 0.0843 0.0476
0.1039 0.7958 0.7791
0.8810 0.9157 0.9524
0.0297 0.2989 0.5931
0.7500 0.3250 0.8250
0.2500 0.3593 0.8593
0.2500 0.6750 0.1750
0.7500 0.6407 0.1407
```


Which is most stable, and by how much? version R, by 20 meV/atom.